BeTlSb2 | the Alexandria database | GGA-PBE | optimized geometry; distance to the lowest polymorph of the same formula = 431 meV/atom; magnetic moment = 0.0 μB/cell; formation energy without anion corrections = 620 meV per atom; DFT total energy = -11.86 eV per cell
1.0
-0.003 4.693 -2.229
-4.292 1.764 -2.335
-2.707 3.887 2.133
Sb Tl Be
2 1 1
Direct
0.000 0.000 0.000 Sb
0.750 0.750 0.750 Sb
0.250 0.250 0.250 Tl
0.500 0.500 0.500 Be

---

BeTl2Sb | the Alexandria database | GGA-PBE | optimized geometry; distance to the lowest polymorph of the same formula = 429 meV/atom; magnetic moment = 0.0 μB/cell; formation energy without anion corrections = 537 meV per atom; DFT total energy = -10.43 eV per cell
1.0
6.361 0.036 0.000
3.433 5.355 0.000
-4.897 -2.695 3.036
Sb Tl Be
1 2 1
Direct
0.750 0.250 0.500 Sb
0.000 0.000 0.000 Tl
0.500 0.500 0.000 Tl
0.250 0.750 0.500 Be

---

BeTl2Sb | the Alexandria database | GGA-PBE | optimized geometry; distance to the lowest polymorph of the same formula = 243 meV/atom; magnetic moment = 0.0 μB/cell; formation energy without anion corrections = 350 meV per atom; DFT total energy = -11.18 eV per cell
1.0
-3.649 -2.221 0.793
3.221 -5.425 -0.375
3.226 -3.886 3.960
Sb Tl Be
1 2 1
Direct
0.500 0.750 0.750 Sb
0.000 0.108 0.092 Tl
0.000 0.392 0.408 Tl
0.500 0.250 0.250 Be

---

BeTl2Sb | the Alexandria database | GGA-PBE | optimized geometry; distance to the lowest polymorph of the same formula = 194 meV/atom; magnetic moment = 0.0 μB/cell; formation energy without anion corrections = 301 meV per atom; DFT total energy = -11.38 eV per cell
1.0
3.649 0.000 0.000
0.000 3.649 0.000
0.000 0.000 8.102
Sb Tl Be
1 2 1
Direct
0.500 0.500 0.635 Sb
0.000 0.000 0.970 Tl
0.500 0.500 0.250 Tl
0.000 0.000 0.645 Be